! CoTeCI2, optimized geometry, DFT PBE; values from VASP
! relative energy among the computed polymorphs	94	meV/atom
! crystal system	tetragonal
! raw formation energy	1647.2	meV/atom
! calculated total energy	-2.87	eV per atom
&SYSTEM
  ibrav = 0, nat = 5, ntyp = 4
/
ATOMIC_SPECIES
Co 58.93 Co.upf
Te 127.60 Te.upf
C 12.01 C.upf
I 126.90 I.upf
ATOMIC_POSITIONS angstrom
Co 0.000 0.000 0.000
Te 0.000 0.000 2.393
C 2.693 2.693 2.393
I 0.000 2.693 0.000
I 2.693 0.000 0.000
CELL_PARAMETERS angstrom
5.386 0.000 0.000
0.000 5.386 0.000
0.000 0.000 4.785